No. 1
Density functional theory data (PBE) for a relaxed structure of CeTmSc2.

a b c (Å): 11.154 11.154 11.154
angles (deg): 17.28 17.28 17.28
Atoms (fractional coordinates):
Ce (0.000, 0.000, 0.000)
Tm (0.166, 0.166, 0.166)
Sc (0.583, 0.583, 0.583)
Sc (0.750, 0.750, 0.750)

E in eV per atom: -5.69
Energy relative to the elements in eV/atom: 0.073
Relative energy among the computed polymorphs in meV/atom: 9

No. 2
Density functional theory data (PBE) for a relaxed structure of NiWAu.

a b c (Å): 4.244 4.244 4.244
angles (deg): 60.00 60.00 60.00
Atoms (fractional coordinates):
Ni (0.000, 0.000, 0.000)
W (0.750, 0.750, 0.750)
Au (0.500, 0.500, 0.500)

E in eV per atom: -6.43
Energy relative to the elements in eV/atom: 0.906
Relative energy among the computed polymorphs in meV/atom: 857

No. 3
Density functional theory data (PBE) for a relaxed structure of Hf2Ge3Ru.

a b c (Å): 6.194 6.194 6.194
angles (deg): 142.59 128.21 65.62
Atoms (fractional coordinates):
Hf (0.176, 0.176, 0.000)
Hf (0.824, 0.824, 0.000)
Ge (0.000, 0.500, 0.500)
Ge (0.352, 0.852, 0.500)
Ge (0.648, 0.148, 0.500)
Ru (0.500, 0.500, 0.000)

E in eV per atom: -7.42
Energy relative to the elements in eV/atom: -0.246

No. 4
Density functional theory data (PBE) for a relaxed structure of InSiAg.

a b c (Å): 3.743 5.744 6.728
angles (deg): 111.69 105.68 93.64
Atoms (fractional coordinates):
In (0.000, 0.000, 0.000)
In (0.391, 0.441, 0.750)
Si (0.092, 0.818, 0.571)
Si (0.542, 0.967, 0.437)
Ag (0.084, 0.553, 0.119)
Ag (0.703, 0.350, 0.351)

E_form (uncorrected) in meV/atom: 175
E in eV per atom: -3.50